Model one:
The following is a meta-GGA SCAN calculation of a crystal of BaY2Ru relaxed with PBEsol, from Alexandria via LeMat-Bulk.

Computed properties:
Its space group is P4mm (99). As for the density of states at the Fermi level: 4.4 states/eV per cell.

Unit cell a=3.8517 b=3.8517 c=8.3477 alpha=90.00 beta=90.00 gamma=90.00
Positions (direct):
Ba 0.0000 0.0000 0.5369
Y 0.5000 0.5000 0.1757
Ru 0.5000 0.5000 0.8562
Y 0.0000 0.0000 0.9312

Model two:
The following is a meta-GGA SCAN calculation of a crystal of BaY2Ru relaxed with PBEsol, from Alexandria via LeMat-Bulk.

Computed properties:
Its space group is I-4m2 (119). As for the density of states at the Fermi level: 3.1 states/eV per cell.

Unit cell a=4.4338 b=4.4338 c=6.0370 alpha=111.54 beta=111.54 gamma=90.00
Positions (direct):
Ru 0.2500 0.7500 0.5000
Y 0.0000 0.0000 0.0000
Y 0.7500 0.2500 0.5000
Ba 0.5000 0.5000 0.0000

Comparing the structures above, model one comes out on top by 0.427 eV/atom.